No. 1
First-principles (GGA-PBE) data for crystalline Zn2SiBr at its relaxed geometry, as listed in the Alexandria database.

a b c (Å): 4.8425 4.8425 4.8425
angles (deg): 60.00 60.00 60.00
Closest atoms and distances in Å follow each position.
Positions (direct):
Zn1 0.0000 0.0000 0.0000  4 Br 2.97, 4 Zn 2.97
Zn2 0.2500 0.2500 0.2500  4 Si 2.97, 4 Zn 2.97
Si1 0.5000 0.5000 0.5000  4 Br 2.97, 4 Zn 2.97
Br1 0.7500 0.7500 0.7500  4 Si 2.97, 4 Zn 2.97

Summary:
For the total magnetization, the calculation gives 0.00 μB per atom. The space group is F-43m. As for the volume: 20.07 Å³ per atom. The uncorrected formation energy comes out at 567 meV per atom. For the energy relative to the lowest polymorph listed for this composition, the calculation gives 544 meV/atom.

=====

No. 2
First-principles (GGA-PBE) data for crystalline ZnSiBr at its relaxed geometry, as listed in the Alexandria database.

a b c (Å): 6.8052 6.4261 3.4338
angles (deg): 81.17 68.92 29.91
Closest atoms and distances in Å follow each position.
Positions (direct):
Zn1 0.0000 0.0000 0.0000  2 Si 2.55, 2 Br 2.60
Si1 0.3563 0.3563 0.6437  2 Zn 2.55
Br1 0.6493 0.6493 0.3507  2 Zn 2.60

Summary:
For the total magnetization, the calculation gives 0.00 μB per atom. The space group is Fmm2. As for the volume: 21.90 Å³ per atom. The uncorrected formation energy comes out at 341 meV per atom. For the energy relative to the lowest polymorph listed for this composition, the calculation gives 293 meV/atom.

=====

What did the second record say?
First-principles (GGA-PBE) data for crystalline ZnSiBr at its relaxed geometry, as listed in the Alexandria database.

a b c (Å): 6.8052 6.4261 3.4338
angles (deg): 81.17 68.92 29.91
Closest atoms and distances in Å follow each position.
Positions (direct):
Zn1 0.0000 0.0000 0.0000  2 Si 2.55, 2 Br 2.60
Si1 0.3563 0.3563 0.6437  2 Zn 2.55
Br1 0.6493 0.6493 0.3507  2 Zn 2.60

Summary:
For the total magnetization, the calculation gives 0.00 μB per atom. The space group is Fmm2. As for the volume: 21.90 Å³ per atom. The uncorrected formation energy comes out at 341 meV per atom. For the energy relative to the lowest polymorph listed for this composition, the calculation gives 293 meV/atom.